Entry from the Alexandria database: an optimized crystal structure of SrGaSn2 (PBE-GGA).

Geometry as POSCAR:
```
SrGaSn2
1.0
-3.8777 0.4309 -0.5335
-0.4443 -3.9122 0.0697
-0.9501 0.2344 7.0947
Ga Sn Sr
1 2 1
Direct
0.5000 0.5000 0.0000
0.0000 0.0000 0.2029
0.0000 0.0000 0.7971
0.5000 0.5000 0.5000
```

Values from the calculation:
Spin magnetization: 0.0 μB per formula unit
Calculated total energy: -13.91 eV/cell
Formation energy from the elements: -0.30 eV per atom